[1]
The following is a DFT calculation (PBE) of a geometry-optimized Tl2GeIr2 structure.

Computed properties:
Its crystal system is tetragonal. The space group is P4/mbm (127). The calculation puts the formation enthalpy at 0 K at 33.09 kJ/mol of atoms.

Cell lengths 6.649, 6.649, 4.430 Å; angles 90.00, 90.00, 90.00 degrees
Positions (direct):
Tl (0.163, 0.337, 0.000)
Tl (0.337, 0.837, 0.000)
Tl (0.663, 0.163, 0.000)
Tl (0.837, 0.663, 0.000)
Ge (0.000, 0.000, 0.500)
Ge (0.500, 0.500, 0.500)
Ir (0.153, 0.653, 0.500)
Ir (0.347, 0.153, 0.500)
Ir (0.653, 0.847, 0.500)
Ir (0.847, 0.347, 0.500)

***

[2]
The following is a DFT calculation (PBE) of a geometry-optimized Cr2ReRh structure.

Computed properties:
Its crystal system is tetragonal. The space group is P4/mmm (123). The calculation puts the formation enthalpy at 0 K at 6.19 kJ/mol of atoms.

Cell lengths 4.126, 4.126, 3.192 Å; angles 90.00, 90.00, 90.00 degrees
Positions (direct):
Cr (0.000, 0.500, 0.000)
Cr (0.500, 0.000, 0.000)
Re (0.000, 0.000, 0.500)
Rh (0.500, 0.500, 0.500)

***

[3]
The following is a DFT calculation (PBE) of a geometry-optimized AgGeBr6 structure.

Computed properties:
The formation energy without anion corrections is -2.1 eV/f.u. Its crystal system is triclinic. The space group is P-1 (2).

Cell lengths 6.194, 6.933, 7.793 Å; angles 109.79, 113.14, 95.49 degrees
Positions (direct):
Ag (0.000, 0.000, 0.000)
Ge (0.500, 0.500, 0.000)
Br (0.122, 0.331, 0.688)
Br (0.327, 0.363, 0.206)
Br (0.388, 0.850, 0.135)
Br (0.612, 0.150, 0.865)
Br (0.673, 0.637, 0.794)
Br (0.878, 0.669, 0.312)

***

[4]
The following is a DFT calculation (PBE) of a geometry-optimized AgW2C structure.

Computed properties:
Its crystal system is tetragonal. The space group is I-42d (122). The calculation puts the formation enthalpy at 0 K at 125.65 kJ/mol of atoms.

Cell lengths 6.861, 6.861, 6.861 Å; angles 137.92, 137.92, 61.03 degrees
Positions (direct):
Ag (0.000, 0.000, 0.000)
Ag (0.750, 0.250, 0.500)
W (0.252, 0.625, 0.127)
W (0.375, 0.502, 0.627)
W (0.498, 0.125, 0.873)
W (0.875, 0.748, 0.373)
C (0.250, 0.750, 0.500)
C (0.500, 0.500, 0.000)

***

[5]
The following is a DFT calculation (PBE) of a geometry-optimized PrDyMgRu structure.

Computed properties:
Its crystal system is tetragonal. The relative energy among the computed polymorphs comes out at 0.000 eV/atom. The space group is P4mm (99). The calculation puts the formation enthalpy at 0 K at -18.56 kJ/mol of atoms.

Cell lengths 3.452, 3.452, 8.639 Å; angles 90.00, 90.00, 90.00 degrees
Positions (direct):
Pr (0.000, 0.000, 0.000)
Dy (0.000, 0.000, 0.605)
Mg (0.500, 0.500, 0.312)
Ru (0.500, 0.500, 0.790)

***

[6]
The following is a DFT calculation (PBE) of a geometry-optimized FeTcIr structure.

Computed properties:
Its crystal system is orthorhombic. The relative energy among the computed polymorphs comes out at 0.000 eV/atom. The space group is Imm2 (44). The calculation puts the formation enthalpy at 0 K at -6.76 kJ/mol of atoms.

Cell lengths 4.628, 4.628, 4.628 Å; angles 146.04, 132.09, 60.02 degrees
Positions (direct):
Fe (0.000, 0.000, 0.000)
Tc (0.665, 0.665, 0.000)
Ir (0.334, 0.334, 0.000)

***

no.,spin magnetization (μB per cell)
1,0.00
2,3.65
3,0.00
4,0.00
5,0.00
6,1.94